A relaxed structure of FeSO2, computed with PBEsol.

## Properties
E	-48.84	eV/cell
formation energy (no corrections)	-0.14	eV/atom

abc: 5.3325 5.3325 5.3325
angles: 120.84 120.84 88.55
Last column: nearest neighbours and their distance in Å.
Atoms (fractional coordinates):
Fe1 0.0000 0.0000 0.0000  4 O 1.71
Fe2 0.7500 0.2500 0.5000  4 O 1.71
S1 0.2500 0.7500 0.5000  4 O 2.66
S2 0.5000 0.5000 0.0000  4 O 2.66
O1 0.3750 0.0247 0.1497  2 Fe 1.71
O2 0.7747 0.6250 0.6497  2 Fe 1.71
O3 0.8750 0.2253 0.8503  2 Fe 1.71
O4 0.9753 0.1250 0.3503  2 Fe 1.71


A relaxed structure of Ba2SmGaTe5, computed with PBEsol.

## Properties
E	-83.66	eV/cell
formation energy (no corrections)	-1.27	eV/atom

abc: 7.7417 9.1963 9.9812
angles: 103.43 103.03 107.39
Last column: nearest neighbours and their distance in Å.
Atoms (fractional coordinates):
Ba1 0.1418 0.4822 0.2938  8 Te 3.44-3.77
Ba2 0.1451 0.9854 0.2881  8 Te 3.45-3.78
Ba3 0.8549 0.0146 0.7119  8 Te 3.45-3.78
Ba4 0.8582 0.5178 0.7062  8 Te 3.44-3.77
Sm1 0.4993 0.2348 0.9982  6 Te 3.05-3.21
Sm2 0.5007 0.7652 0.0018  6 Te 3.05-3.21
Ga1 0.3080 0.3736 0.6881  4 Te 2.58-2.72
Ga2 0.6920 0.6264 0.3119  4 Te 2.58-2.72
Te1 0.0203 0.7607 0.5108  1 Ga 2.58
Te2 0.1928 0.9064 0.9394  2 Sm 3.05-3.06
Te3 0.2018 0.4083 0.9316  1 Ga 2.72
Te4 0.4833 0.1694 0.6730  1 Ga 2.62
Te5 0.4832 0.6600 0.6769  1 Ga 2.62
Te6 0.5168 0.3400 0.3231  1 Ga 2.62
Te7 0.5167 0.8306 0.3270  1 Ga 2.62
Te8 0.7982 0.5917 0.0684  1 Ga 2.72
Te9 0.8072 0.0936 0.0606  2 Sm 3.05-3.06
Te10 0.9797 0.2393 0.4892  1 Ga 2.58


A relaxed structure of Mg2TiAgH, computed with PBEsol.

## Properties
E	-17.26	eV/cell

abc: 4.3838 4.3838 3.9731
angles: 90.00 90.00 90.00
Last column: nearest neighbours and their distance in Å.
Atoms (fractional coordinates):
Mg1 0.0000 0.5000 0.0000  2 H 2.19
Mg2 0.5000 0.0000 0.0000  2 H 2.19
Ti1 0.0000 0.0000 0.5000  8 Mg 2.96, 4 Ag 3.10
Ag1 0.5000 0.5000 0.5000  2 H 1.99
H1 0.5000 0.5000 0.0000  2 Ag 1.99, 4 Mg 2.19


A relaxed structure of SrIn2Os, computed with PBEsol.

## Properties
formation enthalpy at 0 K	0.49	eV per atom
E	-18.07	eV/cell

abc: 5.3507 5.3507 5.3507
angles: 130.18 130.18 73.12
Last column: nearest neighbours and their distance in Å.
Atoms (fractional coordinates):
Sr1 0.0000 0.0000 0.0000  8 In 3.11-3.19, 4 Os 3.11
In1 0.5000 0.5000 0.0000  4 In 3.11, 4 Os 3.11, 4 Sr 3.19
In2 0.7500 0.2500 0.5000  4 In 3.11, 4 Sr 3.11, 4 Os 3.19
Os1 0.2500 0.7500 0.5000  8 In 3.11-3.19, 4 Sr 3.11


A relaxed structure of RbPSCl2, computed with PBEsol.

## Properties
E above lowest polymorph	0.4473	eV per atom
E	-16.75	eV/cell
formation energy (no corrections)	-0.31	eV/atom

abc: 5.6266 5.6266 4.1908
angles: 90.00 90.00 90.00
Last column: nearest neighbours and their distance in Å.
Atoms (fractional coordinates):
Rb1 0.0000 0.0000 0.0000  8 Cl 3.51
P1 0.5000 0.5000 0.0000  2 S 2.10
S1 0.5000 0.5000 0.5000  2 P 2.10
Cl1 0.0000 0.5000 0.5000  2 S 2.81
Cl2 0.5000 0.0000 0.5000  2 S 2.81


A relaxed structure of KZnP2, computed with PBEsol.

## Properties
formation enthalpy at 0 K	-0.06	eV per atom
E	-14.55	eV/cell

abc: 3.4778 3.4778 6.5847
angles: 90.00 90.00 90.00
Last column: nearest neighbours and their distance in Å.
Atoms (fractional coordinates):
K1 0.0000 0.0000 0.0000  2 Zn 3.29, 8 P 3.32, 4 K 3.48
Zn1 0.0000 0.0000 0.5000  8 P 2.68
P1 0.5000 0.5000 0.3381  1 P 2.13
P2 0.5000 0.5000 0.6619  1 P 2.13